# 1
A plane-wave DFT calculation with PBE-GGA was carried out for Na2Ce4Sb3O2 after structural relaxation.

Space-group type: I4/mmm
Raw formation energy: -1.46 eV/atom

Cell and atoms, written as CIF:
```
data_Na2Ce4Sb3O2
_chemical_formula_sum 'Na2 Ce4 Sb3 O2'
_space_group_name_H-M_alt 'P 1'
_space_group_IT_number 1
_cell_length_a 4.812
_cell_length_b 4.812
_cell_length_c 13.284
_cell_angle_alpha 100.43
_cell_angle_beta 100.43
_cell_angle_gamma 90.00
loop_
_space_group_symop_operation_xyz
'x,y,z'
loop_
_atom_site_label
_atom_site_type_symbol
_atom_site_fract_x
_atom_site_fract_y
_atom_site_fract_z
Na1 Na 0.296 0.296 0.593
Na2 Na 0.704 0.704 0.407
Ce1 Ce 0.413 0.913 0.826
Ce2 Ce 0.913 0.413 0.826
Ce3 Ce 0.087 0.587 0.174
Ce4 Ce 0.587 0.087 0.174
Sb1 Sb 0.000 0.000 0.000
Sb2 Sb 0.171 0.171 0.343
Sb3 Sb 0.829 0.829 0.657
O1 O 0.408 0.408 0.817
O2 O 0.592 0.592 0.183
```

# 2
A plane-wave DFT calculation with PBE-GGA was carried out for LiTmGe2Pt5 after structural relaxation.

Space-group type: P4/mmm

Cell and atoms, written as CIF:
```
data_LiTmGe2Pt5
_chemical_formula_sum 'Li1 Tm1 Ge2 Pt5'
_space_group_name_H-M_alt 'P 1'
_space_group_IT_number 1
_cell_length_a 4.111
_cell_length_b 4.111
_cell_length_c 9.352
_cell_angle_alpha 90.00
_cell_angle_beta 90.00
_cell_angle_gamma 90.00
loop_
_space_group_symop_operation_xyz
'x,y,z'
loop_
_atom_site_label
_atom_site_type_symbol
_atom_site_fract_x
_atom_site_fract_y
_atom_site_fract_z
Li1 Li 0.000 0.000 0.000
Tm1 Tm 0.000 0.000 0.500
Ge1 Ge 0.500 0.500 0.131
Ge2 Ge 0.500 0.500 0.869
Pt1 Pt 0.000 0.500 0.278
Pt2 Pt 0.500 0.000 0.278
Pt3 Pt 0.000 0.500 0.722
Pt4 Pt 0.500 0.000 0.722
Pt5 Pt 0.500 0.500 0.500
```

# 3
A plane-wave DFT calculation with PBE-GGA was carried out for Sc2FeHg after structural relaxation.

Space-group type: Pmmm

Cell and atoms, written as CIF:
```
data_Sc2FeHg
_chemical_formula_sum 'Sc2 Fe1 Hg1'
_space_group_name_H-M_alt 'P 1'
_space_group_IT_number 1
_cell_length_a 3.213
_cell_length_b 3.175
_cell_length_c 7.909
_cell_angle_alpha 66.37
_cell_angle_beta 90.00
_cell_angle_gamma 90.00
loop_
_space_group_symop_operation_xyz
'x,y,z'
loop_
_atom_site_label
_atom_site_type_symbol
_atom_site_fract_x
_atom_site_fract_y
_atom_site_fract_z
Sc1 Sc 0.000 0.957 0.044
Sc2 Sc 0.000 0.543 0.456
Hg1 Hg 0.500 0.750 0.750
Fe1 Fe 0.500 0.250 0.250
```

What are the final energy values for these records? In order: -5.880; -5.888; -5.651 eV/atom.